[1]
Cr2CdFe | PBE | relaxed

Geometry as POSCAR:
```
Cr2CdFe
1.0
-1.483 2.104 4.334
1.483 -2.104 4.334
1.483 2.104 -4.334
Cr Cd Fe
2 1 1
direct
0.232 0.232 0.000
0.768 0.768 0.000
0.500 0.000 0.500
0.000 0.500 0.500
```

Output
Uncorrected energy ... -6.618 eV/atom
Space-group type ... Immm, No. 71
Calculated formation energy ... 0.539 eV/atom

***

[2]
Cr2CdFe | PBE | relaxed

Geometry as POSCAR:
```
Cr2CdFe
1.0
1.532 -2.073 0.000
1.532 2.073 0.000
0.000 0.000 8.571
Cr Cd Fe
2 1 1
direct
0.000 0.000 0.220
0.000 0.000 0.780
0.500 0.500 0.500
0.500 0.500 0.000
```

Output
Uncorrected energy ... -6.692 eV/atom
Space-group type ... Cmmm, No. 65
Calculated formation energy ... 0.464 eV/atom

***

The lowest calculated formation energy belongs to which entry? number 2